1.
This record from Alexandria via LeMat-Bulk describes GdTm2Se after structural relaxation. The functional is PBE-GGA.

Results
The value obtained for the total energy is -7.17 eV per atom. The value obtained for the density of states at the Fermi level is 13.93 states/eV/cell. The uncorrected formation energy is -0.54 eV per atom.

abc: 3.6622 3.6622 30.7429
angles: 90.00 90.00 120.00
Space group R-3m (No. 166, hexagonal axes)
Inequivalent atoms, fractional coordinates:
Gd1 0.0000 0.0000 0.0000 (multiplicity 3)
Tm1 0.0000 0.0000 0.1077 (multiplicity 6)
Se1 0.0000 0.0000 0.5000 (multiplicity 3)

***

2.
This record from Alexandria via LeMat-Bulk describes GdUSe2 after structural relaxation. The functional is PBE-GGA.

Results
The value obtained for the total energy is -9.48 eV per atom. The value obtained for the density of states at the Fermi level is 20.14 states/eV/cell. The uncorrected formation energy is -1.40 eV per atom.

abc: 4.0460 4.0460 20.5461
angles: 90.00 90.00 120.00
Space group R-3m (No. 166, hexagonal axes)
Inequivalent atoms, fractional coordinates:
Gd1 0.0000 0.0000 0.0000 (multiplicity 3)
U1 0.0000 0.0000 0.5000 (multiplicity 3)
Se1 0.0000 0.0000 0.2500 (multiplicity 6)

***

3.
This record from Alexandria via LeMat-Bulk describes GdY2Se after structural relaxation. The functional is PBE-GGA.

Results
The value obtained for the total energy is -8.22 eV per atom. The value obtained for the density of states at the Fermi level is 17.18 states/eV/cell. The uncorrected formation energy is -0.60 eV per atom.

abc: 3.7404 3.7404 30.8365
angles: 90.00 90.00 120.00
Space group R-3m (No. 166, hexagonal axes)
Inequivalent atoms, fractional coordinates:
Gd1 0.0000 0.0000 0.0000 (multiplicity 3)
Y1 0.0000 0.0000 0.1083 (multiplicity 6)
Se1 0.0000 0.0000 0.5000 (multiplicity 3)

***

4.
This record from Alexandria via LeMat-Bulk describes Gd2YSe after structural relaxation. The functional is PBE-GGA.

Results
The value obtained for the total energy is -10.34 eV per atom. The value obtained for the density of states at the Fermi level is 16.43 states/eV/cell. The uncorrected formation energy is -0.81 eV per atom.

abc: 3.8240 3.8240 28.7557
angles: 90.00 90.00 120.00
Space group R-3m (No. 166, hexagonal axes)
Inequivalent atoms, fractional coordinates:
Gd1 0.0000 0.0000 0.2322 (multiplicity 6)
Y1 0.0000 0.0000 0.0000 (multiplicity 3)
Se1 0.0000 0.0000 0.5000 (multiplicity 3)

***

5.
This record from Alexandria via LeMat-Bulk describes Gd2ZrSe after structural relaxation. The functional is PBE-GGA.

Results
The value obtained for the total energy is -10.42 eV per atom. The value obtained for the density of states at the Fermi level is 12.65 states/eV/cell. The uncorrected formation energy is -0.37 eV per atom.

abc: 3.6244 3.6244 29.9329
angles: 90.00 90.00 120.00
Space group R-3m (No. 166, hexagonal axes)
Inequivalent atoms, fractional coordinates:
Gd1 0.0000 0.0000 0.1026 (multiplicity 6)
Zr1 0.0000 0.0000 0.0000 (multiplicity 3)
Se1 0.0000 0.0000 0.5000 (multiplicity 3)

***

6.
This record from Alexandria via LeMat-Bulk describes GdZrSe2 after structural relaxation. The functional is PBE-GGA.

Results
The value obtained for the total energy is -8.47 eV per atom. The value obtained for the density of states at the Fermi level is 12.42 states/eV/cell. The uncorrected formation energy is -1.07 eV per atom.

abc: 3.7653 3.7653 27.0616
angles: 90.00 90.00 120.00
Space group R-3m (No. 166, hexagonal axes)
Inequivalent atoms, fractional coordinates:
Gd1 0.0000 0.0000 0.0000 (multiplicity 3)
Zr1 0.0000 0.0000 0.5000 (multiplicity 3)
Se1 0.0000 0.0000 0.1056 (multiplicity 6)

***

What is the formula in the first record?
GdTm2Se